An optimized crystal structure of Tm4C2Se5, computed with GGA-PBE.

The structure in POSCAR format:
```
Tm4C2Se5
1.0
-2.1622 -1.9068 -2.7388
-5.3599 -1.8176 5.4969
-1.4104 8.9111 -2.2039
C Tm Se
2 4 5
direct
0.5362 0.5094 0.0724
0.4638 0.4906 0.9276
0.3223 0.3877 0.6447
0.9982 0.7461 0.9964
0.6777 0.6123 0.3553
0.0018 0.2539 0.0036
0.1545 0.8345 0.3090
0.8455 0.1655 0.6910
0.8376 0.6549 0.6752
0.5000 0.0000 0.0000
0.1624 0.3451 0.3248
```

## Properties
Calculated total energy   -6.1473 eV per atom
Magnetic moment   0.0 Bohr magnetons per cell
Formation energy from raw total energies   -1.26 eV per atom